(1)
The following is a DFT calculation (PBE) of a geometry-optimized TmPaPb structure.

Cell: 5.1880 5.1880 5.1880 Å, 60.00 60.00 60.00°
Closest atoms and distances in Å follow each position.
Positions (direct):
Tm 0.0000 0.0000 0.0000  4 Pb 3.18
Pa 0.5000 0.5000 0.5000  4 Pb 3.18
Pb 0.7500 0.7500 0.7500  4 Pa 3.18, 4 Tm 3.18

- Crystal system: cubic
- Total DFT energy (no corrections): -16.31 eV/cell
- Theoretical density: 10.21 Mg/m³

---

(2)
The following is a DFT calculation (PBE) of a geometry-optimized PaZnPb structure.

Cell: 5.0274 5.0274 5.0274 Å, 60.00 60.00 60.00°
Closest atoms and distances in Å follow each position.
Positions (direct):
Pa 0.0000 0.0000 0.0000  4 Pb 3.08, 4 Zn 3.08
Zn 0.2500 0.2500 0.2500  4 Pa 3.08
Pb 0.7500 0.7500 0.7500  4 Pa 3.08

- Crystal system: cubic
- Total DFT energy (no corrections): -12.93 eV/cell
- Theoretical density: 9.31 Mg/m³

---

(3)
The following is a DFT calculation (PBE) of a geometry-optimized PaZn2Pb2 structure.

Cell: 7.7046 7.7046 7.7046 Å, 148.90 148.90 44.56°
Closest atoms and distances in Å follow each position.
Positions (direct):
Pa 0.0000 0.0000 0.0000  8 Pb 3.33
Zn 0.2500 0.7500 0.5000  4 Pb 2.85, 4 Zn 2.92
Zn 0.7500 0.2500 0.5000  4 Pb 2.85, 4 Zn 2.92
Pb 0.3878 0.3878 0.0000  4 Zn 2.85
Pb 0.6122 0.6122 0.0000  4 Zn 2.85

- Crystal system: tetragonal
- Total DFT energy (no corrections): -18.11 eV/cell
- Theoretical density: 10.60 Mg/m³

---

(4)
The following is a DFT calculation (PBE) of a geometry-optimized PaZnPb structure.

Cell: 4.9470 4.9470 4.9470 Å, 60.00 60.00 60.00°
Closest atoms and distances in Å follow each position.
Positions (direct):
Pa 0.0000 0.0000 0.0000  4 Pb 3.03
Zn 0.5000 0.5000 0.5000  4 Pb 3.03
Pb 0.2500 0.2500 0.2500  4 Zn 3.03, 4 Pa 3.03

- Crystal system: cubic
- Total DFT energy (no corrections): -12.48 eV/cell
- Theoretical density: 9.77 Mg/m³

---

(5)
The following is a DFT calculation (PBE) of a geometry-optimized PaPd2Pt structure.

Cell: 5.7414 5.7414 5.0514 Å, 90.00 90.00 119.91°
Closest atoms and distances in Å follow each position.
Positions (direct):
Pa 0.1728 0.8272 0.7500  8 Pd 2.86-3.07, 4 Pt 2.87-2.97
Pa 0.8272 0.1728 0.2500  8 Pd 2.86-3.07, 4 Pt 2.87-2.97
Pd 0.1759 0.3274 0.7500  4 Pt 2.83-3.05, 4 Pd 2.86-2.94, 4 Pa 2.86-3.07
Pd 0.3274 0.1759 0.2500  4 Pt 2.83-3.05, 4 Pd 2.86-2.94, 4 Pa 2.86-3.07
Pd 0.6726 0.8241 0.7500  4 Pt 2.83-3.05, 4 Pd 2.86-2.94, 4 Pa 2.86-3.07
Pd 0.8241 0.6726 0.2500  4 Pt 2.83-3.05, 4 Pd 2.86-2.94, 4 Pa 2.86-3.07
Pt 0.3296 0.6704 0.2500  8 Pd 2.83-3.05, 4 Pa 2.87-2.97
Pt 0.6704 0.3296 0.7500  8 Pd 2.83-3.05, 4 Pa 2.87-2.97

- Crystal system: orthorhombic
- Formation energy from the elements: -0.902 eV/atom
- Total DFT energy (no corrections): -59.02 eV/cell
- Theoretical density: 14.70 Mg/m³

---

(6)
The following is a DFT calculation (PBE) of a geometry-optimized RbPaPd structure.

Cell: 5.0951 5.0951 5.0951 Å, 60.00 60.00 60.00°
Closest atoms and distances in Å follow each position.
Positions (direct):
Rb 0.0000 0.0000 0.0000  4 Pd 3.12
Pa 0.5000 0.5000 0.5000  4 Pd 3.12
Pd 0.7500 0.7500 0.7500  4 Pa 3.12, 4 Rb 3.12

- Crystal system: cubic
- Total DFT energy (no corrections): -12.96 eV/cell
- Theoretical density: 7.51 Mg/m³

---

(7)
The following is a DFT calculation (PBE) of a geometry-optimized ScPaPd structure.

Cell: 4.7260 4.7260 4.7260 Å, 60.00 60.00 60.00°
Closest atoms and distances in Å follow each position.
Positions (direct):
Sc 0.0000 0.0000 0.0000  4 Pd 2.89
Pa 0.5000 0.5000 0.5000  4 Pd 2.89
Pd 0.7500 0.7500 0.7500  4 Pa 2.89, 4 Sc 2.89

- Crystal system: cubic
- Formation energy from the elements: -0.002 eV/atom
- Total DFT energy (no corrections): -21.01 eV/cell
- Theoretical density: 8.51 Mg/m³

---

(8)
The following is a DFT calculation (PBE) of a geometry-optimized ScPaPd structure.

Cell: 4.6410 4.6410 4.6410 Å, 60.00 60.00 60.00°
Closest atoms and distances in Å follow each position.
Positions (direct):
Sc 0.0000 0.0000 0.0000  4 Pa 2.84
Pa 0.7500 0.7500 0.7500  4 Sc 2.84, 4 Pd 2.84
Pd 0.5000 0.5000 0.5000  4 Pa 2.84

- Crystal system: cubic
- Formation energy from the elements: 0.398 eV/atom
- Total DFT energy (no corrections): -19.81 eV/cell
- Theoretical density: 8.98 Mg/m³